# 1
First-principles (PBEsol) data for a relaxed KNiIO6 crystal, as listed in Alexandria.

Cell: 4.9674 4.9674 6.0281 Å, 90.00 90.00 120.00°
Positions (direct):
K 0.0000 0.0000 0.0000
Ni 0.3333 0.6667 0.5000
I 0.6667 0.3333 0.5000
O 0.0044 0.3784 0.6761
O 0.0044 0.6260 0.3239
O 0.3740 0.3784 0.3239
O 0.3740 0.9956 0.6761
O 0.6216 0.6260 0.6761
O 0.6216 0.9956 0.3239

Summary:
As for the space group: P312, No. 149.

# 2
First-principles (PBEsol) data for a relaxed KNiSbI2 crystal, as listed in Alexandria.

Cell: 5.6474 5.6474 4.7530 Å, 90.00 90.00 90.00°
Positions (direct):
K 0.0000 0.0000 0.0000
Ni 0.5000 0.5000 0.5000
Sb 0.5000 0.5000 0.0000
I 0.0000 0.5000 0.5000
I 0.5000 0.0000 0.5000

Summary:
As for the space group: P4/mmm, No. 123.

# 3
First-principles (PBEsol) data for a relaxed KI2O crystal, as listed in Alexandria.

Cell: 5.5122 5.5122 5.5122 Å, 60.00 60.00 60.00°
Positions (direct):
K 0.0000 0.0000 0.0000
I 0.2500 0.2500 0.2500
I 0.7500 0.7500 0.7500
O 0.5000 0.5000 0.5000

Summary:
As for the space group: Fm-3m, No. 225.

# 4
First-principles (PBEsol) data for a relaxed KRhI2O crystal, as listed in Alexandria.

Cell: 6.0769 6.0769 4.4363 Å, 90.00 90.00 90.00°
Positions (direct):
K 0.0000 0.0000 0.0000
Rh 0.5000 0.5000 0.5000
I 0.0000 0.5000 0.0000
I 0.5000 0.0000 0.0000
O 0.0000 0.0000 0.5000

Summary:
As for the space group: P4/mmm, No. 123.

# 5
First-principles (PBEsol) data for a relaxed KSiIO2 crystal, as listed in Alexandria.

Cell: 4.4976 4.4976 6.2042 Å, 90.00 90.00 90.00°
Positions (direct):
K 0.0000 0.0000 0.0000
Si 0.5000 0.5000 0.5000
I 0.0000 0.0000 0.5000
O 0.0000 0.5000 0.0000
O 0.5000 0.0000 0.0000

Summary:
As for the space group: P4/mmm, No. 123.

# 6
First-principles (PBEsol) data for a relaxed KSrIO2 crystal, as listed in Alexandria.

Cell: 4.7553 4.7553 6.6328 Å, 90.00 90.00 90.00°
Positions (direct):
K 0.0000 0.0000 0.0000
Sr 0.5000 0.5000 0.5000
I 0.5000 0.5000 0.0000
O 0.0000 0.5000 0.5000
O 0.5000 0.0000 0.5000

Summary:
As for the space group: P4/mmm, No. 123.

# 7
First-principles (PBEsol) data for a relaxed KTe2IO crystal, as listed in Alexandria.

Cell: 4.5400 4.5400 7.2538 Å, 90.00 90.00 90.00°
Positions (direct):
K 0.0000 0.0000 0.0000
Te 0.0000 0.5000 0.5000
Te 0.5000 0.0000 0.5000
I 0.5000 0.5000 0.0000
O 0.5000 0.5000 0.5000

Summary:
As for the space group: P4/mmm, No. 123.

# 8
First-principles (PBEsol) data for a relaxed KTlI2O crystal, as listed in Alexandria.

Cell: 6.3836 6.3836 4.8149 Å, 90.00 90.00 90.00°
Positions (direct):
K 0.0000 0.0000 0.0000
Tl 0.5000 0.5000 0.5000
I 0.0000 0.5000 0.0000
I 0.5000 0.0000 0.0000
O 0.0000 0.0000 0.5000

Summary:
As for the space group: P4/mmm, No. 123.

# 9
First-principles (PBEsol) data for a relaxed KVI2O8 crystal, as listed in Alexandria.

Cell: 9.4742 5.1822 15.7562 Å, 90.00 108.95 90.00°
Positions (direct):
K 0.0820 0.2216 0.4055
K 0.0820 0.2784 0.9055
K 0.9180 0.7216 0.0945
K 0.9180 0.7784 0.5945
V 0.3011 0.7169 0.3161
V 0.3011 0.7831 0.8161
V 0.6989 0.2169 0.1839
V 0.6989 0.2831 0.6839
I 0.2309 0.2223 0.1799
I 0.2309 0.2777 0.6799
I 0.4387 0.6787 0.0703
I 0.4387 0.8213 0.5703
I 0.5613 0.1787 0.4297
I 0.5613 0.3213 0.9297
I 0.7691 0.7223 0.3201
I 0.7691 0.7777 0.8201
O 0.0750 0.2351 0.0786
O 0.0750 0.2649 0.5786
O 0.1565 0.5587 0.7268
O 0.1565 0.9413 0.2268
O 0.1625 0.0415 0.7475
O 0.1625 0.4585 0.2475
O 0.2663 0.6871 0.4113
O 0.2663 0.8129 0.9113
O 0.2980 0.6650 0.1272
O 0.2980 0.8350 0.6272
O 0.3871 0.1362 0.5142
O 0.3871 0.3638 0.0142
O 0.3961 0.0543 0.3342
O 0.3961 0.4457 0.8342
O 0.4557 0.5546 0.3245
O 0.4557 0.9454 0.8245
O 0.5443 0.0546 0.1755
O 0.5443 0.4454 0.6755
O 0.6039 0.5543 0.1658
O 0.6039 0.9457 0.6658
O 0.6129 0.6362 0.9858
O 0.6129 0.8638 0.4858
O 0.7020 0.1650 0.3728
O 0.7020 0.3350 0.8728
O 0.7337 0.1871 0.0887
O 0.7337 0.3129 0.5887
O 0.8375 0.5415 0.7525
O 0.8375 0.9585 0.2525
O 0.8435 0.0587 0.7732
O 0.8435 0.4413 0.2732
O 0.9250 0.7351 0.4214
O 0.9250 0.7649 0.9214

Summary:
As for the space group: P2_1/c, No. 14.

# 10
First-principles (PBEsol) data for a relaxed KYI2O crystal, as listed in Alexandria.

Cell: 5.9455 5.9455 4.1801 Å, 90.00 90.00 90.00°
Positions (direct):
K 0.0000 0.0000 0.0000
Y 0.5000 0.5000 0.5000
I 0.0000 0.5000 0.0000
I 0.5000 0.0000 0.0000
O 0.0000 0.0000 0.5000

Summary:
As for the space group: P4/mmm, No. 123.

# 11
First-principles (PBEsol) data for a relaxed KOs3I crystal, as listed in Alexandria.

Cell: 4.8655 4.8655 4.8655 Å, 90.00 90.00 90.00°
Positions (direct):
K 0.0000 0.0000 0.0000
Os 0.0000 0.5000 0.5000
Os 0.5000 0.0000 0.5000
Os 0.5000 0.5000 0.0000
I 0.5000 0.5000 0.5000

Summary:
As for the space group: Pm-3m, No. 221.

# 12
First-principles (PBEsol) data for a relaxed K4P21I crystal, as listed in Alexandria.

Cell: 12.6090 12.6090 9.6889 Å, 90.00 90.00 60.87°
Positions (direct):
K 0.0752 0.7503 0.7500
K 0.2497 0.9248 0.7500
K 0.3795 0.3795 0.0000
K 0.3795 0.3795 0.5000
K 0.6205 0.6205 0.0000
K 0.6205 0.6205 0.5000
K 0.7503 0.0752 0.2500
K 0.9248 0.2497 0.2500
P 0.0070 0.6912 0.0736
P 0.0070 0.6912 0.4264
P 0.0362 0.9638 0.2500
P 0.0537 0.5084 0.7500
P 0.0635 0.4950 0.0825
P 0.0635 0.4950 0.4175
P 0.1235 0.2256 0.7500
P 0.1465 0.8535 0.0836
P 0.1465 0.8535 0.4164
P 0.1849 0.6664 0.1335
P 0.1849 0.6664 0.3665
P 0.2136 0.3327 0.7500
P 0.2256 0.1235 0.2500
P 0.3088 0.9930 0.0736
P 0.3088 0.9930 0.4264
P 0.3327 0.2136 0.2500
P 0.3336 0.8151 0.1335
P 0.3336 0.8151 0.3665
P 0.4916 0.9463 0.7500
P 0.4950 0.0635 0.5825
P 0.4950 0.0635 0.9175
P 0.5050 0.9365 0.0825
P 0.5050 0.9365 0.4175
P 0.5084 0.0537 0.2500
P 0.6664 0.1849 0.6335
P 0.6664 0.1849 0.8665
P 0.6673 0.7864 0.7500
P 0.6912 0.0070 0.5736
P 0.6912 0.0070 0.9264
P 0.7744 0.8765 0.7500
P 0.7864 0.6673 0.2500
P 0.8151 0.3336 0.6335
P 0.8151 0.3336 0.8665
P 0.8535 0.1465 0.5836
P 0.8535 0.1465 0.9164
P 0.8765 0.7744 0.2500
P 0.9365 0.5050 0.5825
P 0.9365 0.5050 0.9175
P 0.9463 0.4916 0.2500
P 0.9638 0.0362 0.7500
P 0.9930 0.3088 0.5736
P 0.9930 0.3088 0.9264
I 0.4009 0.5991 0.7500
I 0.5991 0.4009 0.2500

Summary:
As for the space group: Cmcm, No. 63.

Number 1: total energy -47.70 eV per formula unit, mass density 4.13 g/cm³. Number 2: total energy -16.80 eV per formula unit, mass density 5.19 g/cm³. Number 3: total energy -9.47 eV per formula unit, mass density 4.33 g/cm³. Number 4: total energy -12.81 eV per formula unit, mass density 4.17 g/cm³. Number 5: total energy -14.86 eV per formula unit, mass density 2.99 g/cm³. Number 6: total energy -20.41 eV per formula unit, mass density 3.16 g/cm³. Number 7: total energy -17.25 eV per formula unit, mass density 4.86 g/cm³. Number 8: total energy -12.93 eV per formula unit, mass density 4.34 g/cm³. Number 9: total energy -70.34 eV per formula unit, mass density 4.28 g/cm³. Number 10: total energy -17.89 eV per formula unit, mass density 4.47 g/cm³. Number 11: total energy -26.22 eV per formula unit, mass density 10.62 g/cm³. Number 12: total energy -134.82 eV per formula unit, mass density 2.30 g/cm³.